First-principles (PBE) data for a relaxed BePtN2 crystal, as listed in Alexandria via LeMat-Bulk.

a = 4.4580 Å, b = 4.4580 Å, c = 5.1247 Å
α = 64.22°, β = 64.22°, γ = 90.00°
Fractional coordinates of all 8 atoms:
Pt 0.0000 0.0000 0.0000
Pt 0.7500 0.2500 0.5000
Be 0.2500 0.7500 0.5000
Be 0.5000 0.5000 0.0000
N 0.3750 0.4333 0.7500
N 0.5667 0.1250 0.2500
N 0.1833 0.6250 0.2500
N 0.8750 0.8167 0.7500

Formation energy from raw total energies   0.254 eV/atom
Space-group type   I-42d, No. 122
DOS at the Fermi energy   0.26 states/eV/f.u.

First-principles (PBE) data for a relaxed PuBePtN crystal, as listed in Alexandria via LeMat-Bulk.

a = 3.7839 Å, b = 3.7839 Å, c = 7.9336 Å
α = 90.00°, β = 90.00°, γ = 90.00°
Each line ends with the local moment (μB).
Fractional coordinates of all 8 atoms:
Pu 0.5000 0.0000 0.1567  5.01
Pu 0.0000 0.5000 0.8433  5.01
Pt 0.0000 0.0000 0.5000  0.00
Pt 0.5000 0.5000 0.5000  0.00
N 0.0000 0.5000 0.1259  -0.17
N 0.5000 0.0000 0.8741  -0.17
Be 0.5000 0.0000 0.6687  0.01
Be 0.0000 0.5000 0.3313  0.01

Formation energy from raw total energies   -0.989 eV/atom
Space-group type   P4/nmm, No. 129
DOS at the Fermi energy   7.91 states/eV/f.u.

First-principles (PBE) data for a relaxed BePtS2N crystal, as listed in Alexandria via LeMat-Bulk.

a = 4.9157 Å, b = 4.9157 Å, c = 3.6462 Å
α = 90.00°, β = 90.00°, γ = 90.00°
Fractional coordinates of all 5 atoms:
Pt 0.0000 0.0000 0.0000
S 0.0000 0.5000 0.0000
S 0.5000 0.0000 0.0000
N 0.0000 0.0000 0.5000
Be 0.5000 0.5000 0.5000

Formation energy from raw total energies   0.989 eV/atom
Energy above the lowest structure with this stoichiometry   29.1 kJ/mol of atoms
Space-group type   P4/mmm, No. 123
DOS at the Fermi energy   2.27 states/eV/f.u.